Record 1
# Sr2HgGeRh

An optimized crystal structure of Sr2HgGeRh (PBE-GGA, the Alexandria database).

Summary:
Calculated formation energy ... -0.443 eV per atom
Theoretical density ... 5.725 Mg/m³
Symmetry ... P4/mmm, No. 123

Cell and atoms, written as POSCAR:
```
Sr2HgGeRh
1.0
-0.032 0.846 -5.765
4.871 -3.160 -0.490
-2.584 -3.897 -0.558
Sr Hg Rh Ge
2 1 1 1
direct
0.500 0.000 0.000
0.000 0.500 0.000
0.500 0.500 0.500
0.000 0.000 0.000
0.000 0.000 0.500
```

Record 2
# TcHgGe2Rh

An optimized crystal structure of TcHgGe2Rh (PBE-GGA, the Alexandria database).

Summary:
Calculated formation energy ... 0.870 eV per atom
Theoretical density ... 7.894 Mg/m³
Symmetry ... P4/mmm, No. 123

Cell and atoms, written as POSCAR:
```
TcHgGe2Rh
1.0
-3.470 -1.673 2.646
2.677 -4.485 0.674
2.039 1.789 3.805
Ge Rh Hg Tc
2 1 1 1
direct
0.000 0.000 0.500
0.500 0.000 0.000
0.500 0.500 0.500
0.000 0.500 0.000
0.000 0.000 0.000
```

Record 3
# Hg2GeTeRh

An optimized crystal structure of Hg2GeTeRh (PBE-GGA, the Alexandria database).

Summary:
Theoretical density ... 8.444 Mg/m³
Symmetry ... P4/mmm, No. 123
ΔE_f (raw) ... 9.4 kcal/mol of atoms

Cell and atoms, written as POSCAR:
```
Hg2GeTeRh
1.0
-4.432 0.166 2.742
-2.627 -1.302 -4.167
0.565 -5.038 1.218
Hg Ge Rh Te
2 1 1 1
direct
0.000 0.000 0.500
0.500 0.000 0.000
0.500 0.500 0.500
0.000 0.000 0.000
0.000 0.500 0.000
```

Record 4
# Th2HgGe3Rh4

An optimized crystal structure of Th2HgGe3Rh4 (PBE-GGA, the Alexandria database).

Summary:
Calculated formation energy ... -0.753 eV per atom
Theoretical density ... 11.114 Mg/m³
Symmetry ... P-4m2, No. 115

Cell and atoms, written as POSCAR:
```
Th2HgGe3Rh4
1.0
4.105 0.000 0.000
0.000 4.105 0.000
0.000 0.000 11.476
Th Hg Rh Ge
2 1 4 3
direct
0.500 0.000 0.247
0.000 0.500 0.753
0.500 0.500 0.500
0.000 0.500 0.330
0.000 0.000 0.000
0.500 0.000 0.670
0.500 0.500 0.000
0.000 0.000 0.500
0.000 0.500 0.119
0.500 0.000 0.881
```

Look up the theoretical density of the fourth one.
11.114 Mg/m³